DFT (PBE) results for crystalline K4La3USe8 at its relaxed geometry.

Computed properties:
Uncorrected formation energy: -1668 meV/atom
Raw total energy: -0.1953 Ha/atom
Symmetry: R-3m (166)
DOS at the Fermi energy: 6.51 states/eV/cell
Magnetic moment: 3.02 μB/cell

a b c (Å): 9.209 9.209 9.209
angles (deg): 57.18 57.18 57.18
Sites, in units of the cell vectors:
1 K 0.000 0.000 0.000
2 K 0.000 0.500 0.500
3 K 0.500 0.000 0.500
4 K 0.500 0.500 0.000
5 La 0.000 0.000 0.500
6 La 0.000 0.500 0.000
7 La 0.500 0.000 0.000
8 U 0.500 0.500 0.500
9 Se 0.238 0.238 0.238
10 Se 0.245 0.733 0.733
11 Se 0.267 0.267 0.755
12 Se 0.267 0.755 0.267
13 Se 0.733 0.245 0.733
14 Se 0.733 0.733 0.245
15 Se 0.755 0.267 0.267
16 Se 0.762 0.762 0.762